The following is a PBE-GGA calculation of a relaxed structure of Tb2Nd2In, from Alexandria.

Structure (POSCAR):
```
Tb2Nd2In
1.0
-3.9766 1.1535 1.5014
0.5654 -2.6098 3.5025
5.2932 7.3894 1.8825
Tb Nd In
2 2 1
Direct
0.4138 0.4138 0.8276
0.5862 0.5862 0.1724
0.7500 0.2500 0.5000
0.2500 0.7500 0.5000
0.0000 0.0000 0.0000
```

Computed properties:
The calculation puts the energy of formation from the pure elements at 1.5 eV/f.u.



The following is a PBE-GGA calculation of a relaxed structure of La2Sm4Er5, from Alexandria.

Structure (POSCAR):
```
La2Sm4Er5
1.0
-3.3982 0.9904 -0.1577
-3.2165 -10.2871 4.6989
2.5351 3.6098 7.8399
La Sm Er
2 4 5
Direct
0.7145 0.3487 0.4289
0.2855 0.6513 0.5711
0.3594 0.2008 0.7188
0.9667 0.7456 0.9334
0.6406 0.7992 0.2812
0.0333 0.2544 0.0666
0.9062 0.4593 0.8124
0.0938 0.5407 0.1876
0.8235 0.9359 0.6469
0.5000 0.0000 0.0000
0.1765 0.0641 0.3531
```

Computed properties:
The calculation puts the energy of formation from the pure elements at 0.8 eV/f.u. The value obtained for the excess energy over the best structure of this formula in the dataset is 0.000 eV per atom.



The following is a PBE-GGA calculation of a relaxed structure of HfMgTa3, from Alexandria.

Structure (POSCAR):
```
HfMgTa3
1.0
-1.5643 0.1253 -4.4913
1.5636 -4.4433 -0.6686
-4.2122 -1.6960 1.4198
Mg Hf Ta
1 1 3
Direct
0.0000 0.0000 0.0000
0.5000 0.5000 0.5000
0.0000 0.5000 0.0000
0.0000 0.0000 0.5000
0.5000 0.0000 0.0000
```

Computed properties:
The calculation puts the energy of formation from the pure elements at 8.3 eV/f.u. The value obtained for the excess energy over the best structure of this formula in the dataset is 0.000 eV per atom.



The following is a PBE-GGA calculation of a relaxed structure of Tb2YInC, from Alexandria.

Structure (POSCAR):
```
Tb2YInC
1.0
4.9288 0.0000 0.0000
0.0000 4.9568 0.0000
0.0000 0.0000 4.9568
Tb Y In C
2 1 1 1
Direct
0.0000 0.0000 0.5000
0.0000 0.5000 0.0000
0.5000 0.0000 0.0000
0.5000 0.5000 0.5000
0.0000 0.0000 0.0000
```

Computed properties:
The calculation puts the energy of formation from the pure elements at -2.5 eV/f.u.



The following is a PBE-GGA calculation of a relaxed structure of Cd2ReF8, from Alexandria.

Structure (POSCAR):
```
Cd2ReF8
1.0
-3.8098 1.4648 -1.5236
0.5111 -4.2163 -5.3313
-3.0848 -2.0841 5.7098
Re F Cd
1 8 2
Direct
0.5000 0.0000 0.0000
0.7625 0.6667 0.3333
0.2375 0.3333 0.6667
0.2587 0.2845 0.1423
0.7413 0.7155 0.8577
0.7413 0.1423 0.8577
0.2587 0.8577 0.1423
0.2587 0.8577 0.7155
0.7413 0.1423 0.2845
0.7384 0.3333 0.6667
0.2616 0.6667 0.3333
```

Computed properties:
For the energy relative to the elements, uncorrected, the calculation gives -2.032 eV/atom.



The following is a PBE-GGA calculation of a relaxed structure of Y3Cu3Sb4, from Alexandria.

Structure (POSCAR):
```
Y3Cu3Sb4
1.0
-7.1803 -1.2495 4.0189
6.2376 -3.3881 4.3455
1.3232 8.1739 -0.8398
Y Cu Sb
6 6 8
Direct
0.8750 0.2500 0.1250
0.6250 0.7500 0.3750
0.2500 0.1250 0.8750
0.7500 0.3750 0.6250
0.1250 0.8750 0.2500
0.3750 0.6250 0.7500
0.3750 0.2500 0.6250
0.1250 0.7500 0.8750
0.2500 0.6250 0.3750
0.7500 0.8750 0.1250
0.6250 0.3750 0.2500
0.8750 0.1250 0.7500
0.6604 0.5000 0.0000
0.5000 0.0000 0.6604
0.0000 0.6604 0.5000
0.8396 0.8396 0.8396
0.5000 0.0000 0.1604
0.1604 0.5000 0.0000
0.0000 0.1604 0.5000
0.3396 0.3396 0.3396
```

Computed properties:
For the energy relative to the elements, uncorrected, the calculation gives -0.731 eV/atom.



Result set for spin magnetization: 0.00, 0.00, 0.00, 0.00, 3.00, 0.00 μB/f.u., one per record in the order listed.